# V2ZnPt9

A relaxed V2ZnPt9 crystal (GGA-PBE, the Alexandria database).

Output
DOS at the Fermi energy (states/eV per atom): 1.035
Total DFT energy (no corrections) (Ha/atom): -0.243
Energy of formation from the pure elements (eV/atom): -0.46
Magnetization (μB/f.u.): 1.23

Cell lengths 3.917, 3.917, 11.788 Å; angles 90.00, 90.00, 90.00 degrees
Space group P4/mmm (No. 123)
Symmetry-distinct sites (fractional):
V1 0.000 0.000 0.172 x2
Zn1 0.000 0.000 0.500 x1
Pt1 0.000 0.500 0.000 x2
Pt2 0.000 0.500 0.328 x4
Pt3 0.500 0.500 0.164 x2
Pt4 0.500 0.500 0.500 x1